(1)
{
  "formula": "ScTa2Rh2",
  "functional": "GGA-PBE",
  "state": "relaxed",
  "formation_enthalpy_0k_ev_per_atom": -0.32,
  "mass_density_g_cm3": 11.52,
  "relative_energy_mev_per_atom": 44,
  "lattice": [[-1.3715, -4.1402, 6.5624], [-6.0344, -3.6201, -3.5451], [1.7610, -2.0372, -0.9172]],
  "species": ["Sc", "Ta", "Sc", "Rh", "Rh", "Ta", "Ta", "Ta", "Rh", "Rh"],
  "frac_coords": [[0.5000, 0.5000, 0.0000], [0.1411, 0.3589, 0.0000], [0.0000, 0.0000, 0.0000], [0.1542, 0.6542, 0.5000], [0.8458, 0.3458, 0.5000], [0.3589, 0.8589, 0.0000], [0.8589, 0.6411, 0.0000], [0.6411, 0.1411, 0.0000], [0.6542, 0.8458, 0.5000], [0.3458, 0.1542, 0.5000]]
}



(2)
{
  "formula": "Sc5TaRh6",
  "functional": "GGA-PBE",
  "state": "relaxed",
  "formation_enthalpy_0k_ev_per_atom": -0.91,
  "mass_density_g_cm3": 8.42,
  "lattice": [[4.2731, -0.0256, 1.4240], [0.0357, 6.6382, 0.0119], [0.0037, -0.0128, 7.1120]],
  "species": ["Rh", "Rh", "Sc", "Sc", "Rh", "Rh", "Rh", "Ta", "Rh", "Sc", "Sc", "Sc"],
  "frac_coords": [[0.8380, 0.2460, 0.3239], [0.1620, 0.7540, 0.6761], [0.6663, 0.5000, 0.6675], [0.3314, 0.0000, 0.3372], [0.8380, 0.7540, 0.3239], [0.5000, 0.7638, 0.0000], [0.1620, 0.2460, 0.6761], [0.0000, 0.0000, 0.0000], [0.5000, 0.2362, 0.0000], [0.3337, 0.5000, 0.3325], [0.0000, 0.5000, 0.0000], [0.6686, 0.0000, 0.6628]]
}



(3)
{
  "formula": "Sc2TaRh2",
  "functional": "GGA-PBE",
  "state": "relaxed",
  "formation_enthalpy_0k_ev_per_atom": -0.56,
  "mass_density_g_cm3": 8.42,
  "lattice": [[-0.5680, -3.9933, -5.2857], [-1.9468, -4.9702, 3.9641], [-4.0483, 1.2060, -0.4761]],
  "species": ["Ta", "Sc", "Rh", "Rh", "Sc", "Rh", "Rh", "Sc", "Sc", "Ta"],
  "frac_coords": [[0.0000, 0.0000, 0.0000], [0.3283, 0.1717, 0.5000], [0.6421, 0.1421, 0.0000], [0.3579, 0.8579, 0.0000], [0.1717, 0.6717, 0.5000], [0.1421, 0.3579, 0.0000], [0.8579, 0.6421, 0.0000], [0.6717, 0.8283, 0.5000], [0.8283, 0.3283, 0.5000], [0.5000, 0.5000, 0.0000]]
}



(4)
{
  "formula": "Tb2ScTa2Rh5",
  "functional": "GGA-PBE",
  "state": "relaxed",
  "formation_enthalpy_0k_ev_per_atom": -0.51,
  "mass_density_g_cm3": 10.89,
  "lattice": [[3.3645, 0.0000, 0.0000], [0.0000, 10.5990, 0.0000], [0.0000, 0.0000, 10.5990]],
  "species": ["Rh", "Rh", "Rh", "Tb", "Rh", "Rh", "Tb", "Rh", "Rh", "Rh", "Tb", "Rh", "Ta", "Rh", "Ta", "Ta", "Tb", "Sc", "Ta", "Sc"],
  "frac_coords": [[0.5000, 0.5000, 0.0000], [0.5000, 0.4522, 0.2970], [0.5000, 0.7970, 0.9522], [0.0000, 0.1711, 0.3289], [0.5000, 0.0478, 0.7970], [0.5000, 0.5478, 0.7030], [0.0000, 0.8289, 0.6711], [0.5000, 0.2970, 0.5478], [0.5000, 0.2030, 0.0478], [0.5000, 0.0000, 0.5000], [0.0000, 0.6711, 0.1711], [0.5000, 0.7030, 0.4522], [0.0000, 0.3647, 0.1353], [0.5000, 0.9522, 0.2030], [0.0000, 0.6353, 0.8647], [0.0000, 0.8647, 0.3647], [0.0000, 0.3289, 0.8289], [0.0000, 0.0000, 0.0000], [0.0000, 0.1353, 0.6353], [0.0000, 0.5000, 0.5000]]
}